No. 1
The following is a PBE calculation of an optimized crystal structure of NdPa2Se3, from the Alexandria database.

Structure (POSCAR):
```
NdPa2Se3
1.0
-0.115 -0.351 5.806
7.591 -2.875 -0.020
4.429 11.687 0.793
Pa Se Nd
8 12 4
Direct
0.251 0.876 0.754 Pa
0.251 0.376 0.746 Pa
0.250 0.878 0.416 Pa
0.750 0.622 0.916 Pa
0.750 0.122 0.584 Pa
0.749 0.124 0.246 Pa
0.250 0.378 0.084 Pa
0.749 0.624 0.254 Pa
0.249 0.125 0.248 Se
0.750 0.881 0.414 Se
0.750 0.867 0.085 Se
0.750 0.381 0.086 Se
0.751 0.375 0.748 Se
0.250 0.633 0.585 Se
0.250 0.133 0.915 Se
0.751 0.875 0.752 Se
0.249 0.625 0.252 Se
0.250 0.619 0.914 Se
0.250 0.119 0.586 Se
0.750 0.367 0.415 Se
0.750 0.128 0.920 Nd
0.250 0.372 0.420 Nd
0.250 0.872 0.080 Nd
0.750 0.628 0.580 Nd
```

Values from the calculation:
Uncorrected formation energy (eV/atom): -1.393
M_tot (μB/atom): 0.181

No. 2
The following is a PBE calculation of an optimized crystal structure of NdSm2PaSe4, from the Alexandria database.

Structure (POSCAR):
```
NdSm2PaSe4
1.0
4.129 0.000 0.000
0.000 7.215 0.147
0.000 -2.499 6.781
Se Pa Sm Nd
4 1 2 1
Direct
0.500 0.744 0.749 Se
0.000 0.745 0.248 Se
0.500 0.256 0.251 Se
0.000 0.255 0.752 Se
0.500 0.500 0.000 Pa
0.000 0.500 0.500 Sm
0.500 0.000 0.500 Sm
0.000 0.000 0.000 Nd
```

Values from the calculation:
Uncorrected formation energy (eV/atom): -1.648
M_tot (μB/atom): 0.105